AgIrBr3: relaxed, PBEsol.

Calculated values
The total magnetization comes out at 2.60 Bohr magnetons per cell. Its mass density is 6.808 g/cm3. As for the symmetry: No. 221. Its calculated total energy is -2.530 eV/atom.

Unit cell a=5.0872 b=5.0872 c=5.0872 alpha=90.00 beta=90.00 gamma=90.00
Each line ends with the local moment (μB).
Fractional positions:
Br: 0.0000 0.5000 0.0000  0.08
Br: 0.0000 0.0000 0.5000  0.08
Br: 0.5000 0.0000 0.0000  0.08
Ir: 0.5000 0.5000 0.5000  2.12
Ag: 0.0000 0.0000 0.0000  0.01